# 1
Compound: CaNiOsBr2
Source: Alexandria via LeMat-Bulk
Functional: GGA-PBE
Structure: relaxed

Cell lengths 5.112, 5.112, 4.590 Å; angles 90.00, 90.00, 90.00 degrees
Positions (direct):
Ca 0.000 0.000 0.000
Ni 0.500 0.500 0.000
Os 0.500 0.500 0.500
Br 0.000 0.500 0.500
Br 0.500 0.000 0.500

Summary:
Its space group is P4/mmm, No. 123. Its crystal system is tetragonal.

# 2
Compound: CaNiPBr2
Source: Alexandria via LeMat-Bulk
Functional: GGA-PBE
Structure: relaxed

Cell lengths 5.526, 5.526, 5.744 Å; angles 90.00, 90.00, 90.00 degrees
Positions (direct):
Ca 0.000 0.000 0.000
Ni 0.500 0.500 0.500
P 0.000 0.000 0.500
Br 0.000 0.500 0.000
Br 0.500 0.000 0.000

Summary:
Its space group is P4/mmm, No. 123. Its crystal system is tetragonal.

# 3
Compound: Rb2CaNiBr6
Source: Alexandria via LeMat-Bulk
Functional: GGA-PBE
Structure: relaxed

Cell lengths 7.700, 7.700, 7.700 Å; angles 60.00, 60.00, 60.00 degrees
Positions (direct):
Rb 0.250 0.250 0.250
Rb 0.750 0.750 0.750
Ca 0.000 0.000 0.000
Ni 0.500 0.500 0.500
Br 0.264 0.264 0.736
Br 0.264 0.736 0.264
Br 0.264 0.736 0.736
Br 0.736 0.264 0.264
Br 0.736 0.264 0.736
Br 0.736 0.736 0.264

Summary:
Its space group is Fm-3m, No. 225. Its crystal system is cubic.

# 4
Compound: CaNiRu2Br
Source: Alexandria via LeMat-Bulk
Functional: GGA-PBE
Structure: relaxed

Cell lengths 4.655, 4.655, 4.443 Å; angles 90.00, 90.00, 90.00 degrees
Positions (direct):
Ca 0.000 0.000 0.000
Ni 0.500 0.500 0.000
Ru 0.000 0.500 0.500
Ru 0.500 0.000 0.500
Br 0.500 0.500 0.500

Summary:
Its space group is P4/mmm, No. 123. Its crystal system is tetragonal.

# 5
Compound: CaNiSeBr2
Source: Alexandria via LeMat-Bulk
Functional: GGA-PBE
Structure: relaxed

Cell lengths 4.849, 4.849, 5.066 Å; angles 90.00, 90.00, 90.00 degrees
Positions (direct):
Ca 0.000 0.000 0.000
Ni 0.500 0.500 0.500
Se 0.500 0.500 0.000
Br 0.000 0.500 0.500
Br 0.500 0.000 0.500

Summary:
The value obtained for the energy above the lowest structure with this stoichiometry is 0 meV per atom. Its space group is P4/mmm, No. 123. Its crystal system is tetragonal.

# 6
Compound: CaNiSeBr2
Source: Alexandria via LeMat-Bulk
Functional: GGA-PBE
Structure: relaxed

Cell lengths 5.477, 5.477, 5.768 Å; angles 90.00, 90.00, 90.00 degrees
Positions (direct):
Ca 0.000 0.000 0.000
Ni 0.500 0.500 0.500
Se 0.000 0.000 0.500
Br 0.000 0.500 0.000
Br 0.500 0.000 0.000

Summary:
The value obtained for the energy above the lowest structure with this stoichiometry is 692 meV per atom. Its space group is P4/mmm, No. 123. Its crystal system is tetragonal.

# 7
Compound: CaNi2TeBr
Source: Alexandria via LeMat-Bulk
Functional: GGA-PBE
Structure: relaxed

Cell lengths 4.383, 4.383, 7.638 Å; angles 90.00, 90.00, 90.00 degrees
Positions (direct):
Ca 0.000 0.000 0.000
Ni 0.000 0.500 0.500
Ni 0.500 0.000 0.500
Te 0.500 0.500 0.000
Br 0.500 0.500 0.500

Summary:
Its space group is P4/mmm, No. 123. Its crystal system is tetragonal.

# 8
Compound: Ca2ZrNiBr
Source: Alexandria via LeMat-Bulk
Functional: GGA-PBE
Structure: relaxed

Cell lengths 6.180, 6.180, 4.476 Å; angles 90.00, 90.00, 90.00 degrees
Positions (direct):
Ca 0.000 0.500 0.000
Ca 0.500 0.000 0.000
Zr 0.000 0.000 0.000
Ni 0.000 0.000 0.500
Br 0.500 0.500 0.500

Summary:
Its space group is P4/mmm, No. 123. Its crystal system is tetragonal.

# 9
Compound: CaNp2Br8
Source: Alexandria via LeMat-Bulk
Functional: GGA-PBE
Structure: relaxed

Cell lengths 8.252, 8.252, 7.992 Å; angles 112.09, 112.09, 60.94 degrees
Positions (direct):
Ca 0.000 0.000 0.000
Np 0.126 0.126 0.565
Np 0.874 0.874 0.435
Br 0.190 0.751 0.264
Br 0.211 0.211 0.296
Br 0.249 0.810 0.736
Br 0.320 0.320 0.843
Br 0.680 0.680 0.157
Br 0.751 0.190 0.264
Br 0.789 0.789 0.704
Br 0.810 0.249 0.736

Summary:
Its space group is C2/m, No. 12. Its crystal system is monoclinic.

# 10
Compound: CaNpBr6
Source: Alexandria via LeMat-Bulk
Functional: GGA-PBE
Structure: relaxed

Cell lengths 7.422, 7.422, 7.085 Å; angles 98.07, 98.07, 122.86 degrees
Positions (direct):
Ca 0.000 0.000 0.000
Np 0.500 0.500 0.500
Br 0.114 0.409 0.259
Br 0.256 0.256 0.740
Br 0.409 0.114 0.259
Br 0.591 0.886 0.741
Br 0.744 0.744 0.260
Br 0.886 0.591 0.741

Summary:
The value obtained for the energy above the lowest structure with this stoichiometry is 0 meV per atom. Its space group is C2/m, No. 12. Its crystal system is monoclinic.

# 11
Compound: CaNpBr6
Source: Alexandria via LeMat-Bulk
Functional: GGA-PBE
Structure: relaxed

Cell lengths 7.142, 7.146, 7.721 Å; angles 62.47, 62.46, 60.04 degrees
Positions (direct):
Ca 0.000 0.000 0.000
Np 0.500 0.500 0.500
Br 0.102 0.414 0.745
Br 0.262 0.898 0.255
Br 0.415 0.738 0.746
Br 0.585 0.262 0.254
Br 0.738 0.102 0.745
Br 0.898 0.586 0.255

Summary:
The value obtained for the energy above the lowest structure with this stoichiometry is 9 meV per atom. Its space group is P-1, No. 2. Its crystal system is triclinic.

# 12
Compound: RbCa2NpBr8
Source: Alexandria via LeMat-Bulk
Functional: GGA-PBE
Structure: relaxed

Cell lengths 6.921, 9.178, 7.103 Å; angles 90.00, 90.53, 90.00 degrees
Positions (direct):
Rb 0.000 0.000 0.000
Ca 0.500 0.246 0.500
Ca 0.500 0.754 0.500
Np 0.000 0.500 0.000
Br 0.251 0.285 0.168
Br 0.251 0.715 0.168
Br 0.266 0.500 0.671
Br 0.275 0.000 0.624
Br 0.725 0.000 0.376
Br 0.734 0.500 0.329
Br 0.749 0.285 0.832
Br 0.749 0.715 0.832

Summary:
Its space group is P2/m, No. 10. Its crystal system is monoclinic.

# 13
Compound: RbCaNpBr6
Source: Alexandria via LeMat-Bulk
Functional: GGA-PBE
Structure: relaxed

Cell lengths 7.602, 7.602, 14.971 Å; angles 90.00, 90.00, 120.00 degrees
Positions (direct):
Rb 0.000 0.000 0.000
Rb 0.000 0.000 0.500
Ca 0.333 0.667 0.250
Ca 0.667 0.333 0.750
Np 0.333 0.667 0.750
Np 0.667 0.333 0.250
Br 0.002 0.373 0.640
Br 0.002 0.629 0.860
Br 0.371 0.373 0.860
Br 0.371 0.998 0.640
Br 0.373 0.002 0.140
Br 0.373 0.371 0.360
Br 0.627 0.629 0.640
Br 0.627 0.998 0.860
Br 0.629 0.002 0.360
Br 0.629 0.627 0.140
Br 0.998 0.371 0.140
Br 0.998 0.627 0.360

Summary:
Its space group is P-31c, No. 163. Its crystal system is trigonal.

# 14
Compound: CaNpTlBr6
Source: Alexandria via LeMat-Bulk
Functional: GGA-PBE
Structure: relaxed

Cell lengths 7.566, 7.566, 14.360 Å; angles 90.00, 90.00, 120.00 degrees
Positions (direct):
Ca 0.333 0.667 0.250
Ca 0.667 0.333 0.750
Np 0.333 0.667 0.750
Np 0.667 0.333 0.250
Tl 0.000 0.000 0.000
Tl 0.000 0.000 0.500
Br 0.002 0.368 0.636
Br 0.002 0.634 0.864
Br 0.366 0.368 0.864
Br 0.366 0.998 0.636
Br 0.368 0.002 0.136
Br 0.368 0.366 0.364
Br 0.632 0.634 0.636
Br 0.632 0.998 0.864
Br 0.634 0.002 0.364
Br 0.634 0.632 0.136
Br 0.998 0.366 0.136
Br 0.998 0.632 0.364

Summary:
Its space group is P-31c, No. 163. Its crystal system is trigonal.

# 15
Compound: CaBr2O
Source: Alexandria via LeMat-Bulk
Functional: GGA-PBE
Structure: relaxed

Cell lengths 7.264, 3.964, 7.091 Å; angles 90.00, 103.95, 90.00 degrees
Positions (direct):
Ca 0.000 0.250 0.000
Ca 0.000 0.750 0.500
Br 0.350 0.109 0.720
Br 0.350 0.891 0.220
Br 0.737 0.239 0.264
Br 0.737 0.761 0.764
O 0.096 0.256 0.694
O 0.096 0.744 0.194

Summary:
The value obtained for the energy above the lowest structure with this stoichiometry is 25 meV per atom. Its space group is Pc, No. 7. Its crystal system is monoclinic.

# 16
Compound: Ca4Br6O
Source: Alexandria via LeMat-Bulk
Functional: GGA-PBE
Structure: relaxed

Cell lengths 9.601, 9.601, 7.276 Å; angles 90.00, 90.00, 120.00 degrees
Positions (direct):
Ca 0.204 0.407 0.000
Ca 0.204 0.796 0.000
Ca 0.333 0.667 0.592
Ca 0.407 0.204 0.500
Ca 0.593 0.796 0.000
Ca 0.667 0.333 0.092
Ca 0.796 0.204 0.500
Ca 0.796 0.593 0.500
Br 0.075 0.538 0.299
Br 0.137 0.274 0.624
Br 0.137 0.863 0.624
Br 0.274 0.137 0.124
Br 0.462 0.538 0.299
Br 0.462 0.925 0.299
Br 0.538 0.075 0.799
Br 0.538 0.462 0.799
Br 0.726 0.863 0.624
Br 0.863 0.137 0.124
Br 0.863 0.726 0.124
Br 0.925 0.462 0.799
O 0.333 0.667 0.899
O 0.667 0.333 0.399

Summary:
Its space group is P6_3mc, No. 186. Its crystal system is hexagonal.

# 17
Compound: CaBr2O6
Source: Alexandria via LeMat-Bulk
Functional: GGA-PBE
Structure: relaxed

Cell lengths 6.871, 6.871, 7.425 Å; angles 112.40, 112.40, 78.60 degrees
Positions (direct):
Ca 0.137 0.863 0.750
Ca 0.863 0.137 0.250
Br 0.261 0.370 0.748
Br 0.370 0.261 0.248
Br 0.630 0.739 0.752
Br 0.739 0.630 0.252
O 0.082 0.180 0.630
O 0.160 0.576 0.904
O 0.180 0.082 0.130
O 0.225 0.465 0.556
O 0.424 0.840 0.596
O 0.465 0.225 0.056
O 0.535 0.775 0.944
O 0.576 0.160 0.404
O 0.775 0.535 0.444
O 0.820 0.918 0.870
O 0.840 0.424 0.096
O 0.918 0.820 0.370

Summary:
Its space group is C2/c, No. 15. Its crystal system is monoclinic.

# 18
Compound: Ca2Br2O
Source: Alexandria via LeMat-Bulk
Functional: GGA-PBE
Structure: relaxed

Cell lengths 9.425, 9.425, 6.963 Å; angles 90.00, 90.00, 156.17 degrees
Positions (direct):
Ca 0.011 0.989 0.500
Ca 0.350 0.650 0.314
Ca 0.650 0.350 0.814
Ca 0.989 0.011 0.000
Br 0.249 0.751 0.000
Br 0.422 0.578 0.727
Br 0.578 0.422 0.227
Br 0.751 0.249 0.500
O 0.079 0.921 0.771
O 0.921 0.079 0.271

Summary:
Its space group is Cmc2_1, No. 36. Its crystal system is orthorhombic.

# 19
Compound: CaBr2O
Source: Alexandria via LeMat-Bulk
Functional: GGA-PBE
Structure: relaxed

Cell lengths 4.753, 4.753, 6.856 Å; angles 114.75, 114.75, 50.67 degrees
Positions (direct):
Ca 0.000 0.000 0.000
Br 0.216 0.216 0.759
Br 0.852 0.852 0.347
O 0.619 0.619 0.129

Summary:
The value obtained for the energy above the lowest structure with this stoichiometry is 53 meV per atom. Its space group is Cm, No. 8. Its crystal system is monoclinic.

# 20
Compound: CaBr2O
Source: Alexandria via LeMat-Bulk
Functional: GGA-PBE
Structure: relaxed

Cell lengths 7.395, 7.395, 7.395 Å; angles 35.54, 35.54, 35.54 degrees
Positions (direct):
Ca 0.000 0.000 0.000
Br 0.400 0.400 0.400
Br 0.600 0.600 0.600
O 0.500 0.500 0.500

Summary:
The value obtained for the energy above the lowest structure with this stoichiometry is 687 meV per atom. Its space group is R-3m, No. 166. Its crystal system is trigonal.

# 21
Compound: CaBr2O
Source: Alexandria via LeMat-Bulk
Functional: GGA-PBE
Structure: relaxed

Cell lengths 5.066, 5.066, 5.066 Å; angles 60.00, 60.00, 60.00 degrees
Positions (direct):
Ca 0.000 0.000 0.000
Br 0.250 0.250 0.250
Br 0.750 0.750 0.750
O 0.500 0.500 0.500

Summary:
The value obtained for the energy above the lowest structure with this stoichiometry is 784 meV per atom. Its space group is Fm-3m, No. 225. Its crystal system is cubic.

# 22
Compound: CaBr2O
Source: Alexandria via LeMat-Bulk
Functional: GGA-PBE
Structure: relaxed

Cell lengths 4.278, 7.256, 7.683 Å; angles 108.10, 92.08, 90.61 degrees
Positions (direct):
Ca 0.000 0.000 0.000
Ca 0.500 0.482 0.061
Br 0.486 0.092 0.786
Br 0.513 0.917 0.225
Br 0.971 0.433 0.387
Br 0.986 0.579 0.821
O 0.027 0.343 0.139
O 0.582 0.499 0.373

Summary:
The value obtained for the energy above the lowest structure with this stoichiometry is 47 meV per atom. Its space group is P1, No. 1. Its crystal system is triclinic.

# 23
Compound: CaBr2O
Source: Alexandria via LeMat-Bulk
Functional: GGA-PBE
Structure: relaxed

Cell lengths 7.878, 7.878, 7.064 Å; angles 113.39, 113.39, 29.32 degrees
Positions (direct):
Ca 0.248 0.752 0.500
Ca 0.752 0.248 0.000
Br 0.081 0.264 0.439
Br 0.137 0.593 0.049
Br 0.264 0.081 0.939
Br 0.593 0.137 0.549
O 0.295 0.794 0.871
O 0.794 0.295 0.371

Summary:
The value obtained for the energy above the lowest structure with this stoichiometry is 22 meV per atom. Its space group is Cc, No. 9. Its crystal system is monoclinic.

no.,total moment (μB per formula unit),E (hartree per atom),ΔE_f (raw) (kJ/mol of atoms)
1,0.0,-0.1533,28.9
2,0.7,-0.1093,32.3
3,2.0,-0.1227,-131.6
4,1.1,-0.1758,78.9
5,0.0,-0.1361,-75.2
6,2.0,-0.1106,-8.5
7,0.0,-0.1311,10.5
8,1.8,-0.1312,41.6
9,8.0,-0.1888,-133.8
10,3.0,-0.1703,-145.9
11,3.0,-0.1700,-145.0
12,4.0,-0.1588,-165.3
13,4.0,-0.1676,-161.9
14,4.0,-0.1655,-141.3
15,0.0,-0.1500,-145.2
16,0.0,-0.1570,-210.5
17,0.0,-0.1655,-58.3
18,0.0,-0.1751,-222.2
19,0.0,-0.1489,-142.4
20,0.0,-0.1256,-81.3
21,2.0,-0.1221,-72.0
22,0.0,-0.1492,-143.1
23,0.0,-0.1501,-145.5